Entry from the Alexandria database: a geometry-optimized Li8Ac3Mg3 structure (PBE-GGA).

```
Li8Ac3Mg3
1.0
-2.5358 5.1720 7.1184
2.5358 -5.1720 7.1184
2.5358 5.1720 -7.1184
Li Ac Mg
8 3 3
direct
0.0249 0.1713 0.8535
0.1516 0.3710 0.7806
0.3178 0.1713 0.1465
0.4095 0.6290 0.7806
0.5905 0.3710 0.2194
0.6822 0.8287 0.8535
0.8484 0.6290 0.2194
0.9751 0.8287 0.1465
0.0000 0.5000 0.5000
0.2993 0.7993 0.5000
0.7007 0.2007 0.5000
0.2971 0.0000 0.2971
0.5000 0.5000 0.0000
0.7029 0.0000 0.7029
```

Space group: Immm
Energy (eV per atom): -2.277
N(E_F) (states/eV per cell): 10.308
Energy relative to the elements (kcal/mol of atoms): 0.90